Density functional theory data (PBE) for a relaxed BaYZn crystal.

Properties
- Density of states at the Fermi level: 1.221 states/eV per atom
- Energy above the lowest structure with this stoichiometry: 817.7 meV per atom
- Total DFT energy (no corrections): -7.5 eV for the cell shown
- Calculated formation energy: 0.727 eV/atom

Cell and atoms, written as CIF:
```
data_BaYZn
_chemical_formula_sum 'Ba1 Y1 Zn1'
_cell_length_a 5.318
_cell_length_b 5.318
_cell_length_c 5.318
_cell_angle_alpha 60.00
_cell_angle_beta 60.00
_cell_angle_gamma 60.00
_space_group_name_H-M_alt 'P 1'
_space_group_IT_number 1
_space_group_name_Hall 'P 1'
loop_
_atom_site_label
_atom_site_type_symbol
_atom_site_fract_x
_atom_site_fract_y
_atom_site_fract_z
Zn1 Zn 0.500 0.500 0.500
Ba1 Ba 0.750 0.750 0.750
Y1 Y 0.000 0.000 0.000
```